1.
DFT (PBE) results for crystalline TlZnBi at its relaxed geometry.

```
3
Lattice="-1.745 1.745 6.647 1.745 -1.745 6.647 1.745 1.745 -6.647" Properties=species:S:1:pos:R:3 pbc="T T T"
Tl 0.000 0.000 0.000
Zn 0.000 0.000 4.651
Bi 0.000 0.000 9.425
```

**Size of the total moment**: 0.000 μB/f.u.
**Energy relative to the elements**: 120 meV/atom

2.
DFT (PBE) results for crystalline TlZn4Bi at its relaxed geometry.

```
6
Lattice="0.000 3.979 3.979 3.979 0.000 3.979 3.979 3.979 0.000" Properties=species:S:1:pos:R:3 pbc="T T T"
Tl 0.000 0.000 0.000
Zn 2.980 2.980 2.980
Zn 4.977 4.977 2.980
Zn 4.977 2.980 4.977
Zn 2.980 4.977 4.977
Bi 5.968 5.968 5.968
```

**Size of the total moment**: 0.000 μB/f.u.
**Energy relative to the elements**: 162 meV/atom

3.
DFT (PBE) results for crystalline Tl2Zn2Bi at its relaxed geometry.

```
5
Lattice="-1.793 1.793 10.571 1.793 -1.793 10.571 1.793 1.793 -10.571" Properties=species:S:1:pos:R:3 pbc="T T T"
Tl 0.000 0.000 2.452
Tl 0.000 0.000 18.690
Zn 1.793 0.000 5.286
Zn 0.000 1.793 5.286
Bi 0.000 0.000 10.571
```

**Energy relative to the lowest polymorph listed for this composition**: 0.035 eV/atom
**Size of the total moment**: 0.000 μB/f.u.
**Energy relative to the elements**: 111 meV/atom

4.
DFT (PBE) results for crystalline Tl2ZnBi at its relaxed geometry.

```
4
Lattice="0.000 3.874 3.874 3.874 0.000 3.874 3.874 3.874 0.000" Properties=species:S:1:pos:R:3 pbc="T T T"
Tl 1.937 1.937 1.937
Tl 5.811 5.811 5.811
Zn 0.000 0.000 0.000
Bi 3.874 3.874 3.874
```

**Energy relative to the lowest polymorph listed for this composition**: 0.027 eV/atom
**Size of the total moment**: 0.000 μB/f.u.
**Energy relative to the elements**: 94 meV/atom

5.
DFT (PBE) results for crystalline Tl2ZnBi at its relaxed geometry.

```
8
Lattice="-4.274 4.274 3.156 4.274 -4.274 3.156 4.274 4.274 -3.156" Properties=species:S:1:pos:R:3 pbc="T T T"
Tl 6.411 1.872 -0.789
Tl 1.872 2.137 0.789
Tl -2.137 2.402 2.367
Tl 2.402 2.137 3.945
Zn 0.000 0.000 0.000
Zn 0.000 4.274 1.578
Bi 4.274 0.000 1.578
Bi 0.000 0.000 3.156
```

**Energy relative to the lowest polymorph listed for this composition**: 0.100 eV/atom
**Size of the total moment**: 0.000 μB/f.u.
**Energy relative to the elements**: 168 meV/atom

6.
DFT (PBE) results for crystalline Tl2ZnBi at its relaxed geometry.

```
4
Lattice="1.709 0.987 11.995 -1.709 0.987 11.995 0.000 -1.974 11.995" Properties=species:S:1:pos:R:3 pbc="T T T"
Tl 0.000 0.000 2.989
Tl 0.000 0.000 32.996
Zn 0.000 0.000 0.000
Bi 0.000 0.000 17.993
```

**Energy relative to the lowest polymorph listed for this composition**: 0.080 eV/atom
**Size of the total moment**: 0.000 μB/f.u.
**Energy relative to the elements**: 148 meV/atom

7.
DFT (PBE) results for crystalline Tl2ZnBi at its relaxed geometry.

```
4
Lattice="2.358 1.361 6.451 -2.358 1.361 6.451 0.000 -2.723 6.451" Properties=species:S:1:pos:R:3 pbc="T T T"
Tl 0.000 0.000 0.000
Tl 0.000 0.000 4.344
Zn 0.000 0.000 7.921
Bi 0.000 0.000 15.320
```

**Energy relative to the lowest polymorph listed for this composition**: 0.000 eV/atom
**Size of the total moment**: 0.000 μB/f.u.
**Energy relative to the elements**: 68 meV/atom

8.
DFT (PBE) results for crystalline TlZnBi3 at its relaxed geometry.

```
5
Lattice="5.907 0.000 0.000 0.000 5.907 0.000 0.000 0.000 5.907" Properties=species:S:1:pos:R:3 pbc="T T T"
Tl 0.000 0.000 0.000
Zn 2.954 2.954 2.954
Bi 0.000 0.000 2.954
Bi 0.000 2.954 0.000
Bi 2.954 0.000 0.000
```

**Energy relative to the lowest polymorph listed for this composition**: 0.560 eV/atom
**Size of the total moment**: 0.000 μB/f.u.
**Energy relative to the elements**: 893 meV/atom

9.
DFT (PBE) results for crystalline Zr3TlBi at its relaxed geometry.

```
20
Lattice="7.758 -2.894 0.000 7.758 2.894 0.000 -1.892 0.000 10.608" Properties=species:S:1:pos:R:3 pbc="T T T"
Zr 0.063 0.084 8.210
Zr 1.009 -0.084 2.906
Zr 5.047 1.489 10.438
Zr 3.193 0.245 7.798
Zr 7.630 1.489 5.474
Zr 4.139 -0.245 2.494
Zr 9.484 0.245 8.114
Zr 5.993 -1.489 5.134
Zr 10.430 -0.245 2.810
Zr 8.576 -1.489 0.170
Zr 12.614 0.084 7.702
Zr 13.560 -0.084 2.398
Tl 4.596 1.459 5.018
Tl 9.973 1.459 0.286
Tl 3.650 -1.459 10.322
Tl 9.027 -1.459 5.590
Bi 3.879 1.447 0.000
Bi 6.339 0.054 7.956
Bi 2.933 -1.447 5.304
Bi 7.285 -0.054 2.652
```

**Energy relative to the lowest polymorph listed for this composition**: 0.000 eV/atom
**Size of the total moment**: 0.000 μB/f.u.
**Energy relative to the elements**: -103 meV/atom

10.
DFT (PBE) results for crystalline ZrTlBi2 at its relaxed geometry.

```
4
Lattice="0.000 3.845 3.845 3.845 0.000 3.845 3.845 3.845 0.000" Properties=species:S:1:pos:R:3 pbc="T T T"
Zr 0.000 0.000 0.000
Tl 3.845 3.845 3.845
Bi 1.923 1.923 1.923
Bi 5.768 5.768 5.768
```

**Energy relative to the lowest polymorph listed for this composition**: 0.257 eV/atom
**Size of the total moment**: 0.000 μB/f.u.
**Energy relative to the elements**: 128 meV/atom

11.
DFT (PBE) results for crystalline Zr2TlBi2 at its relaxed geometry.

```
10
Lattice="8.525 0.000 0.000 0.000 8.525 0.000 0.000 0.000 3.775" Properties=species:S:1:pos:R:3 pbc="T T T"
Zr 1.147 3.116 0.000
Zr 3.116 7.379 0.000
Zr 5.409 1.147 0.000
Zr 7.379 5.409 0.000
Tl 0.000 0.000 1.887
Tl 4.263 4.263 1.887
Bi 1.288 5.551 1.887
Bi 2.975 1.288 1.887
Bi 5.551 7.237 1.887
Bi 7.237 2.975 1.887
```

**Energy relative to the lowest polymorph listed for this composition**: 0.172 eV/atom
**Size of the total moment**: 0.000 μB/f.u.
**Energy relative to the elements**: -36 meV/atom

12.
DFT (PBE) results for crystalline ZrTl2Bi at its relaxed geometry.

```
4
Lattice="1.687 0.974 11.869 -1.687 0.974 11.869 0.000 -1.948 11.869" Properties=species:S:1:pos:R:3 pbc="T T T"
Zr 0.000 0.000 0.000
Tl 0.000 0.000 2.989
Tl 0.000 0.000 32.619
Bi 0.000 0.000 17.804
```

**Energy relative to the lowest polymorph listed for this composition**: 0.033 eV/atom
**Size of the total moment**: 0.000 μB/f.u.
**Energy relative to the elements**: 286 meV/atom

13.
DFT (PBE) results for crystalline ZrTl2Bi2 at its relaxed geometry.

```
10
Lattice="7.957 0.000 0.000 0.000 7.957 0.000 0.000 0.000 4.648" Properties=species:S:1:pos:R:3 pbc="T T T"
Zr 0.000 0.000 0.000
Zr 3.978 3.978 0.000
Tl 1.197 2.781 0.000
Tl 2.781 6.759 0.000
Tl 5.176 1.197 0.000
Tl 6.759 5.176 0.000
Bi 1.224 5.202 2.324
Bi 2.755 1.224 2.324
Bi 5.202 6.733 2.324
Bi 6.733 2.755 2.324
```

**Energy relative to the lowest polymorph listed for this composition**: 0.147 eV/atom
**Size of the total moment**: 0.000 μB/f.u.
**Energy relative to the elements**: 283 meV/atom

14.
DFT (PBE) results for crystalline ZrTl2Bi at its relaxed geometry.

```
8
Lattice="-4.282 4.282 3.104 4.282 -4.282 3.104 4.282 4.282 -3.104" Properties=species:S:1:pos:R:3 pbc="T T T"
Zr 0.000 0.000 0.000
Zr 0.000 4.282 1.552
Tl 6.423 2.014 -0.776
Tl 2.014 2.141 0.776
Tl -2.141 2.268 2.328
Tl 2.268 2.141 3.880
Bi 4.282 0.000 1.552
Bi 0.000 0.000 3.104
```

**Energy relative to the lowest polymorph listed for this composition**: 0.000 eV/atom
**Size of the total moment**: 0.000 μB/f.u.
**Energy relative to the elements**: 253 meV/atom

15.
DFT (PBE) results for crystalline Zr3TlBi at its relaxed geometry.

```
5
Lattice="5.349 0.000 0.000 0.000 5.349 0.000 0.000 0.000 5.349" Properties=species:S:1:pos:R:3 pbc="T T T"
Zr 0.000 0.000 2.674
Zr 0.000 2.674 0.000
Zr 2.674 0.000 0.000
Tl 0.000 0.000 0.000
Bi 2.674 2.674 2.674
```

**Energy relative to the lowest polymorph listed for this composition**: 0.983 eV/atom
**Size of the total moment**: 0.000 μB/f.u.
**Energy relative to the elements**: 880 meV/atom

16.
DFT (PBE) results for crystalline Zr2TlBi at its relaxed geometry.

```
8
Lattice="-3.105 3.105 7.400 3.105 -3.105 7.400 3.105 3.105 -7.400" Properties=species:S:1:pos:R:3 pbc="T T T"
Zr 4.657 1.443 -1.850
Zr 1.443 1.552 1.850
Zr -1.552 1.662 5.550
Zr 1.662 1.552 9.250
Tl 0.000 0.000 0.000
Tl 0.000 3.105 3.700
Bi 3.105 0.000 3.700
Bi 0.000 0.000 7.400
```

**Energy relative to the lowest polymorph listed for this composition**: 0.838 eV/atom
**Size of the total moment**: 0.000 μB/f.u.
**Energy relative to the elements**: 751 meV/atom

17.
DFT (PBE) results for crystalline Zr6TlBi2 at its relaxed geometry.

```
18
Lattice="5.699 0.000 0.000 0.000 8.186 0.000 -5.515 0.000 9.508" Properties=species:S:1:pos:R:3 pbc="T T T"
Zr -2.311 1.620 4.175
Zr -5.069 2.473 8.929
Zr 0.661 0.242 1.809
Zr -2.097 3.851 6.563
Zr -0.540 5.387 4.296
Zr -3.297 6.891 9.050
Zr 3.481 1.295 0.458
Zr 0.723 2.798 5.212
Zr 2.281 4.335 2.945
Zr -0.477 7.943 7.699
Zr 5.253 5.713 0.579
Zr 2.495 6.565 5.333
Tl 0.092 0.000 4.754
Tl 2.849 4.093 0.000
Bi -3.245 0.965 7.041
Bi -0.487 3.127 2.287
Bi 0.671 5.058 7.222
Bi 3.428 7.220 2.468
```

**Size of the total moment**: 0.000 μB/f.u.
**Energy relative to the elements**: -89 meV/atom

18.
DFT (PBE) results for crystalline ZrTlBi at its relaxed geometry.

```
12
Lattice="3.031 -7.351 0.000 3.031 7.351 0.000 0.000 0.000 7.421" Properties=species:S:1:pos:R:3 pbc="T T T"
Zr 3.031 5.770 6.666
Zr 3.031 1.582 2.956
Zr 3.031 -1.582 4.465
Zr 3.031 -5.770 0.755
Tl 1.516 0.833 5.566
Tl 1.516 -0.833 1.855
Tl 4.547 0.833 5.566
Tl 4.547 -0.833 1.855
Bi 3.031 4.530 3.968
Bi 3.031 2.821 0.258
Bi 3.031 -2.821 7.163
Bi 3.031 -4.530 3.453
```

**Energy relative to the lowest polymorph listed for this composition**: 0.000 eV/atom
**Size of the total moment**: 0.000 μB/f.u.
**Energy relative to the elements**: -43 meV/atom

19.
DFT (PBE) results for crystalline Zr2TlBi at its relaxed geometry.

```
4
Lattice="3.824 0.000 0.000 0.000 3.824 0.000 0.000 0.000 6.563" Properties=species:S:1:pos:R:3 pbc="T T T"
Zr 0.000 0.000 1.622
Zr 0.000 0.000 4.941
Tl 1.912 1.912 0.000
Bi 1.912 1.912 3.281
```

**Energy relative to the lowest polymorph listed for this composition**: 0.001 eV/atom
**Size of the total moment**: 0.000 μB/f.u.
**Energy relative to the elements**: -86 meV/atom

20.
DFT (PBE) results for crystalline Zr3TlBi at its relaxed geometry.

```
5
Lattice="5.414 0.000 0.000 0.000 5.414 0.000 0.000 0.000 5.414" Properties=species:S:1:pos:R:3 pbc="T T T"
Zr 0.000 0.000 2.707
Zr 0.000 2.707 0.000
Zr 2.707 0.000 0.000
Tl 2.707 2.707 2.707
Bi 0.000 0.000 0.000
```

**Energy relative to the lowest polymorph listed for this composition**: 1.015 eV/atom
**Size of the total moment**: 0.000 μB/f.u.
**Energy relative to the elements**: 912 meV/atom

21.
DFT (PBE) results for crystalline ZrTl2Bi2 at its relaxed geometry.

```
10
Lattice="7.814 0.000 0.000 0.000 7.814 0.000 0.000 0.000 5.119" Properties=species:S:1:pos:R:3 pbc="T T T"
Zr 0.000 0.000 0.000
Zr 3.907 3.907 0.000
Tl 1.351 2.556 2.559
Tl 2.556 6.463 2.559
Tl 5.258 1.351 2.559
Tl 6.463 5.258 2.559
Bi 1.137 5.044 0.000
Bi 2.770 1.137 0.000
Bi 5.044 6.677 0.000
Bi 6.677 2.770 0.000
```

**Energy relative to the lowest polymorph listed for this composition**: 0.000 eV/atom
**Size of the total moment**: 0.000 μB/f.u.
**Energy relative to the elements**: 136 meV/atom

22.
DFT (PBE) results for crystalline Zr2TlBi at its relaxed geometry.

```
4
Lattice="0.000 3.630 3.630 3.630 0.000 3.630 3.630 3.630 0.000" Properties=species:S:1:pos:R:3 pbc="T T T"
Zr 1.815 1.815 1.815
Zr 5.445 5.445 5.445
Tl 0.000 0.000 0.000
Bi 3.630 3.630 3.630
```

**Energy relative to the lowest polymorph listed for this composition**: 0.066 eV/atom
**Size of the total moment**: 0.000 μB/f.u.
**Energy relative to the elements**: -21 meV/atom

23.
DFT (PBE) results for crystalline Zr2TlBi at its relaxed geometry.

```
4
Lattice="4.734 0.000 0.000 0.000 4.734 0.000 0.000 0.000 4.277" Properties=species:S:1:pos:R:3 pbc="T T T"
Zr 0.000 2.367 0.000
Zr 2.367 0.000 0.000
Tl 0.000 0.000 2.138
Bi 2.367 2.367 2.138
```

**Energy relative to the lowest polymorph listed for this composition**: 0.000 eV/atom
**Size of the total moment**: 0.000 μB/f.u.
**Energy relative to the elements**: -87 meV/atom

24.
DFT (PBE) results for crystalline ZrTlBi3 at its relaxed geometry.

```
5
Lattice="5.728 0.000 0.000 0.000 5.728 0.000 0.000 0.000 5.728" Properties=species:S:1:pos:R:3 pbc="T T T"
Zr 0.000 0.000 0.000
Tl 2.864 2.864 2.864
Bi 0.000 0.000 2.864
Bi 0.000 2.864 0.000
Bi 2.864 0.000 0.000
```

**Energy relative to the lowest polymorph listed for this composition**: 0.000 eV/atom
**Size of the total moment**: 0.000 μB/f.u.
**Energy relative to the elements**: 141 meV/atom

25.
DFT (PBE) results for crystalline ZrTl3Bi at its relaxed geometry.

```
5
Lattice="5.680 0.000 0.000 0.000 5.680 0.000 0.000 0.000 5.680" Properties=species:S:1:pos:R:3 pbc="T T T"
Zr 0.000 0.000 0.000
Tl 0.000 0.000 2.840
Tl 0.000 2.840 0.000
Tl 2.840 0.000 0.000
Bi 2.840 2.840 2.840
```

**Energy relative to the lowest polymorph listed for this composition**: 0.000 eV/atom
**Size of the total moment**: 0.000 μB/f.u.
**Energy relative to the elements**: 571 meV/atom

26.
DFT (PBE) results for crystalline ZrTlBi2 at its relaxed geometry.

```
4
Lattice="1.978 1.142 9.205 -1.978 1.142 9.205 0.000 -2.284 9.205" Properties=species:S:1:pos:R:3 pbc="T T T"
Zr 0.000 0.000 0.000
Tl 0.000 0.000 23.039
Bi 0.000 0.000 11.180
Bi 0.000 0.000 16.414
```

**Energy relative to the lowest polymorph listed for this composition**: 0.036 eV/atom
**Size of the total moment**: 0.000 μB/f.u.
**Energy relative to the elements**: -92 meV/atom